[1]
## ThNpU (PBE)

Data for ThNpU after structural relaxation.

The structure in POSCAR format:
```
ThNpU
1.0
0.0000 3.4321 3.4321
3.4321 0.0000 3.4321
3.4321 3.4321 0.0000
Th Np U
1 1 1
Direct
0.0000 0.0000 0.0000
0.5000 0.5000 0.5000
0.7500 0.7500 0.7500
```

Values from the calculation:
For the formation enthalpy at 0 K, the calculation gives 1026 meV/atom. Its raw total energy is -9.47 eV/atom.


[2]
## Ta3AsN2 (PBE)

Data for Ta3AsN2 after structural relaxation.

The structure in POSCAR format:
```
Ta3AsN2
1.0
3.1903 0.0000 0.0000
-1.5951 2.7629 0.0000
0.0000 0.0000 17.4872
Ta As N
6 2 4
Direct
0.0000 0.0000 0.0000
0.0000 0.0000 0.5000
0.3333 0.6667 0.1406
0.3333 0.6667 0.3594
0.6667 0.3333 0.6406
0.6667 0.3333 0.8594
0.0000 0.0000 0.2500
0.0000 0.0000 0.7500
0.3333 0.6667 0.5693
0.3333 0.6667 0.9307
0.6667 0.3333 0.0693
0.6667 0.3333 0.4307
```

Values from the calculation:
Its raw total energy is -10.11 eV/atom.


[3]
## NaNdSO (PBE)

Data for NaNdSO after structural relaxation.

The structure in POSCAR format:
```
NaNdSO
1.0
4.0493 0.0000 0.0000
0.0000 4.0493 0.0000
0.0000 0.0000 9.3315
Na Nd S O
2 2 2 2
Direct
0.2500 0.7500 0.0000
0.7500 0.2500 0.0000
0.2500 0.2500 0.3748
0.7500 0.7500 0.6252
0.2500 0.2500 0.8048
0.7500 0.7500 0.1952
0.2500 0.7500 0.5000
0.7500 0.2500 0.5000
```

Values from the calculation:
Its raw total energy is -6.00 eV/atom.


[4]
## NaHfSc (PBE)

Data for NaHfSc after structural relaxation.

The structure in POSCAR format:
```
NaHfSc
1.0
0.0000 3.5423 3.5423
3.5423 0.0000 3.5423
3.5423 3.5423 0.0000
Na Hf Sc
1 1 1
Direct
0.0000 0.0000 0.0000
0.5000 0.5000 0.5000
0.7500 0.7500 0.7500
```

Values from the calculation:
Its raw total energy is -4.46 eV/atom.


[5]
## Dy2TmTe3 (PBE)

Data for Dy2TmTe3 after structural relaxation.

The structure in POSCAR format:
```
Dy2TmTe3
1.0
4.3272 0.0000 0.0000
-2.1636 3.7475 0.0000
0.0000 0.0000 10.6203
Dy Tm Te
2 1 3
Direct
0.3333 0.6667 0.1677
0.6667 0.3333 0.8323
0.0000 0.0000 0.5000
0.0000 0.0000 0.0000
0.3333 0.6667 0.6627
0.6667 0.3333 0.3373
```

Values from the calculation:
Its raw total energy is -5.09 eV/atom.


[6]
## Hf4ZnGeC2 (PBE)

Data for Hf4ZnGeC2 after structural relaxation.

The structure in POSCAR format:
```
Hf4ZnGeC2
1.0
3.2817 0.0000 0.0000
-1.6409 2.8421 0.0000
0.0000 0.0000 13.9151
Hf Zn Ge C
4 1 1 2
Direct
0.0000 0.0000 0.1557
0.0000 0.0000 0.8443
0.6667 0.3333 0.3363
0.6667 0.3333 0.6637
0.0000 0.0000 0.5000
0.6667 0.3333 0.0000
0.3333 0.6667 0.2461
0.3333 0.6667 0.7539
```

Values from the calculation:
Its raw total energy is -8.71 eV/atom.


[7]
## Mg2CoGe2 (PBE)

Data for Mg2CoGe2 after structural relaxation.

The structure in POSCAR format:
```
Mg2CoGe2
1.0
-2.9178 5.7645 2.7470
2.9178 -5.7645 2.7470
2.9178 5.7645 -2.7470
Mg Co Ge
4 2 4
Direct
0.1454 0.2161 0.3615
0.3546 0.7161 0.0707
0.6454 0.2839 0.9293
0.8546 0.7839 0.6385
0.2500 0.7500 0.5000
0.7500 0.2500 0.5000
0.1127 0.7361 0.8488
0.3873 0.2361 0.6235
0.6127 0.7639 0.3765
0.8873 0.2639 0.1512
```

Values from the calculation:
Its raw total energy is -4.06 eV/atom.


[8]
## PaNbB (PBE)

Data for PaNbB after structural relaxation.

The structure in POSCAR format:
```
PaNbB
1.0
0.0000 2.9952 2.9952
2.9952 0.0000 2.9952
2.9952 2.9952 0.0000
Pa Nb B
1 1 1
Direct
0.0000 0.0000 0.0000
0.5000 0.5000 0.5000
0.7500 0.7500 0.7500
```

Values from the calculation:
Its raw total energy is -8.56 eV/atom.


[9]
## AlP6Pt (PBE)

Data for AlP6Pt after structural relaxation.

The structure in POSCAR format:
```
AlP6Pt
1.0
0.0000 4.2112 4.2112
4.2112 0.0000 4.2112
4.2112 4.2112 0.0000
Al P Pt
1 6 1
Direct
0.0000 0.0000 0.0000
0.5418 0.5418 0.9582
0.5418 0.9582 0.5418
0.5418 0.9582 0.9582
0.9582 0.5418 0.5418
0.9582 0.5418 0.9582
0.9582 0.9582 0.5418
0.2500 0.2500 0.2500
```

Values from the calculation:
Its raw total energy is -4.79 eV/atom.


[10]
## Zr2SnC (PBE)

Data for Zr2SnC after structural relaxation.

The structure in POSCAR format:
```
Zr2SnC
1.0
3.3778 0.0000 0.0000
-1.6889 2.9253 0.0000
0.0000 0.0000 14.7557
Zr Sn C
4 2 2
Direct
0.0000 0.0000 0.0000
0.0000 0.0000 0.3293
0.6667 0.3333 0.4995
0.6667 0.3333 0.8297
0.0000 0.0000 0.6645
0.6667 0.3333 0.1654
0.3333 0.6667 0.4143
0.3333 0.6667 0.9149
```

Values from the calculation:
Its raw total energy is -8.36 eV/atom.


[11]
## Sm2Ho2CCl5 (PBE)

Data for Sm2Ho2CCl5 after structural relaxation.

The structure in POSCAR format:
```
Sm2Ho2CCl5
1.0
8.5720 -1.8903 0.0000
8.5720 1.8903 0.0000
-1.8769 0.0000 7.8022
Sm Ho C Cl
2 2 1 5
Direct
0.0017 0.0017 0.2878
0.9983 0.9983 0.7122
0.3575 0.3575 0.4211
0.6425 0.6425 0.5789
0.5000 0.5000 0.5000
0.1674 0.1674 0.8258
0.1742 0.1742 0.3543
0.5000 0.5000 0.0000
0.8258 0.8258 0.6457
0.8326 0.8326 0.1742
```

Values from the calculation:
Its raw total energy is -5.40 eV/atom.


[12]
## Y2ZnGe (PBE)

Data for Y2ZnGe after structural relaxation.

The structure in POSCAR format:
```
Y2ZnGe
1.0
0.0000 3.6012 3.6012
3.6012 0.0000 3.6012
3.6012 3.6012 0.0000
Y Zn Ge
2 1 1
Direct
0.0000 0.0000 0.0000
0.2500 0.2500 0.2500
0.7500 0.7500 0.7500
0.5000 0.5000 0.5000
```

Values from the calculation:
Its raw total energy is -4.59 eV/atom.


[13]
## ErLu3Tl2C2 (PBE)

Data for ErLu3Tl2C2 after structural relaxation.

The structure in POSCAR format:
```
ErLu3Tl2C2
1.0
3.5400 0.0000 0.0000
-1.7700 3.0657 0.0000
0.0000 0.0000 15.9613
Er Lu Tl C
1 3 2 2
Direct
0.0000 0.0000 0.0000
0.0000 0.0000 0.3362
0.3333 0.6667 0.4993
0.3333 0.6667 0.8344
0.0000 0.0000 0.6674
0.3333 0.6667 0.1686
0.6667 0.3333 0.4177
0.6667 0.3333 0.9163
```

Values from the calculation:
Its raw total energy is -5.60 eV/atom.


[14]
## Dy3Ge13Ir4 (PBE)

Data for Dy3Ge13Ir4 after structural relaxation.

The structure in POSCAR format:
```
Dy3Ge13Ir4
1.0
9.0264 0.0000 0.0000
0.0000 9.0264 0.0000
0.0000 0.0000 9.0264
Dy Ge Ir
6 26 8
Direct
0.0000 0.2500 0.5000
0.0000 0.7500 0.5000
0.2500 0.5000 0.0000
0.5000 0.0000 0.2500
0.5000 0.0000 0.7500
0.7500 0.5000 0.0000
0.0000 0.0000 0.0000
0.0000 0.3070 0.1446
0.0000 0.3070 0.8554
0.0000 0.6930 0.1446
0.0000 0.6930 0.8554
0.1446 0.0000 0.3070
0.1446 0.0000 0.6930
0.1930 0.5000 0.3554
0.1930 0.5000 0.6446
0.3070 0.1446 0.0000
0.3070 0.8554 0.0000
0.3554 0.1930 0.5000
0.3554 0.8070 0.5000
0.5000 0.3554 0.1930
0.5000 0.3554 0.8070
0.5000 0.5000 0.5000
0.5000 0.6446 0.1930
0.5000 0.6446 0.8070
0.6446 0.1930 0.5000
0.6446 0.8070 0.5000
0.6930 0.1446 0.0000
0.6930 0.8554 0.0000
0.8070 0.5000 0.3554
0.8070 0.5000 0.6446
0.8554 0.0000 0.3070
0.8554 0.0000 0.6930
0.2500 0.2500 0.2500
0.2500 0.2500 0.7500
0.2500 0.7500 0.2500
0.2500 0.7500 0.7500
0.7500 0.2500 0.2500
0.7500 0.2500 0.7500
0.7500 0.7500 0.2500
0.7500 0.7500 0.7500
```

Values from the calculation:
Its raw total energy is -5.98 eV/atom.


[15]
## SmTlAgTe3 (PBE)

Data for SmTlAgTe3 after structural relaxation.

The structure in POSCAR format:
```
SmTlAgTe3
1.0
15.7917 0.0000 0.0000
0.0000 4.3204 0.0000
0.0000 0.0000 11.7039
Sm Tl Ag Te
4 4 4 12
Direct
0.0177 0.2500 0.1660
0.4823 0.7500 0.6660
0.5177 0.2500 0.3340
0.9823 0.7500 0.8340
0.2267 0.2500 0.4506
0.2733 0.7500 0.9506
0.7267 0.2500 0.0494
0.7733 0.7500 0.5494
0.0128 0.7500 0.4065
0.4872 0.2500 0.9065
0.5128 0.7500 0.0935
0.9872 0.2500 0.5935
0.1030 0.7500 0.6201
0.1081 0.2500 0.9289
0.1466 0.7500 0.2448
0.3534 0.2500 0.7448
0.3919 0.7500 0.4289
0.3970 0.2500 0.1201
0.6030 0.7500 0.8799
0.6081 0.2500 0.5711
0.6466 0.7500 0.2552
0.8534 0.2500 0.7552
0.8919 0.7500 0.0711
0.8970 0.2500 0.3799
```

Values from the calculation:
Its raw total energy is -3.90 eV/atom.


[16]
## TmNiB (PBE)

Data for TmNiB after structural relaxation.

The structure in POSCAR format:
```
TmNiB
1.0
0.0000 2.8702 2.8702
2.8702 0.0000 2.8702
2.8702 2.8702 0.0000
Tm Ni B
1 1 1
Direct
0.0000 0.0000 0.0000
0.7500 0.7500 0.7500
0.5000 0.5000 0.5000
```

Values from the calculation:
Its raw total energy is -5.31 eV/atom.


[17]
## Zn2Os (PBE)

Data for Zn2Os after structural relaxation.

The structure in POSCAR format:
```
Zn2Os
1.0
4.1644 -2.3229 0.0000
4.1644 2.3229 0.0000
0.0000 0.0000 4.3336
Zn Os
4 2
Direct
0.0113 0.3203 0.2500
0.3203 0.0113 0.7500
0.6797 0.9887 0.2500
0.9887 0.6797 0.7500
0.3505 0.6495 0.2500
0.6495 0.3505 0.7500
```

Values from the calculation:
For the formation enthalpy at 0 K, the calculation gives 141 meV/atom. Its raw total energy is -4.44 eV/atom.


[18]
## ZrCuHgAs (PBE)

Data for ZrCuHgAs after structural relaxation.

The structure in POSCAR format:
```
ZrCuHgAs
1.0
0.0000 3.3463 3.3463
3.3463 0.0000 3.3463
3.3463 3.3463 0.0000
Zr Cu Hg As
1 1 1 1
Direct
0.0000 0.0000 0.0000
0.5000 0.5000 0.5000
0.7500 0.7500 0.7500
0.2500 0.2500 0.2500
```

Values from the calculation:
Its raw total energy is -4.31 eV/atom.


[19]
## Li4TbNbO6 (PBE)

Data for Li4TbNbO6 after structural relaxation.

The structure in POSCAR format:
```
Li4TbNbO6
1.0
2.7208 -4.7295 0.0000
2.7208 4.7295 0.0000
-1.7806 0.0000 4.9024
Li Tb Nb O
4 1 1 6
Direct
0.0000 0.0000 0.0000
0.3778 0.6222 0.0000
0.6948 0.3052 0.0000
0.8566 0.1434 0.5000
0.1897 0.8103 0.5000
0.5237 0.4763 0.5000
0.1366 0.3986 0.2577
0.2885 0.2509 0.7319
0.4470 0.1009 0.2609
0.6014 0.8634 0.7423
0.7491 0.7115 0.2681
0.8991 0.5530 0.7391
```

Values from the calculation:
Its raw total energy is -6.84 eV/atom.


[20]
## InCoTcOs (PBE)

Data for InCoTcOs after structural relaxation.

The structure in POSCAR format:
```
InCoTcOs
1.0
0.0000 3.1158 3.1158
3.1158 0.0000 3.1158
3.1158 3.1158 0.0000
In Co Tc Os
1 1 1 1
Direct
0.0000 0.0000 0.0000
0.2500 0.2500 0.2500
0.5000 0.5000 0.5000
0.7500 0.7500 0.7500
```

Values from the calculation:
Its raw total energy is -7.47 eV/atom.